[1]
Computed, not measured: an optimized crystal structure of AcScCdHg at the PBE-GGA level of DFT.

Unit cell a=7.678 b=7.678 c=7.678 alpha=90.00 beta=90.00 gamma=90.00
Space group F-43m (No. 216)
One atom of each set of equivalent atoms:
Ac 0.000 0.000 0.000 x4
Sc 0.000 0.000 0.500 x4
Cd 0.250 0.250 0.750 x4
Hg 0.250 0.250 0.250 x4

Summary:
Energy relative to the elements (eV/f.u.): -1.06
Volume (Å³ per cell): 452.7
Size of the total moment (μB/cell): 2.62
VASP energy (hartree per atom): -0.1168

---

[2]
Computed, not measured: an optimized crystal structure of PrNd2Si2 at the PBE-GGA level of DFT.

Unit cell a=7.823 b=7.823 c=4.324 alpha=90.00 beta=90.00 gamma=90.00
Space group P4/mbm (No. 127)
One atom of each set of equivalent atoms:
Pr 0.000 0.000 0.000 x2
Nd 0.176 0.324 0.500 x4
Si 0.110 0.610 0.000 x4

Summary:
Excess energy over the best structure of this formula in the dataset (eV/atom): 0.000
Volume (Å³ per cell): 264.7
Size of the total moment (μB/cell): 0.00
VASP energy (hartree per atom): -0.2077

---

[3]
Computed, not measured: an optimized crystal structure of LiCdBSe2 at the PBE-GGA level of DFT.

Unit cell a=4.617 b=4.617 c=4.303 alpha=90.00 beta=90.00 gamma=90.00
Space group P4/mmm (No. 123)
One atom of each set of equivalent atoms:
Li 0.000 0.000 0.000 x1
Cd 0.500 0.500 0.000 x1
B 0.000 0.000 0.500 x1
Se 0.000 0.500 0.500 x2

Summary:
Volume (Å³ per cell): 91.7
Size of the total moment (μB/cell): 0.00
VASP energy (hartree per atom): -0.1083

---

[4]
Computed, not measured: an optimized crystal structure of Pr4Nd5Mg at the PBE-GGA level of DFT.

Unit cell a=3.723 b=3.723 c=24.969 alpha=90.00 beta=90.00 gamma=90.00
Space group P4/mmm (No. 123)
One atom of each set of equivalent atoms:
Pr 0.000 0.000 0.104 x2
Pr 0.000 0.000 0.312 x2
Nd 0.500 0.500 0.000 x1
Nd 0.500 0.500 0.208 x2
Nd 0.500 0.500 0.414 x2
Mg 0.000 0.000 0.500 x1

Summary:
Energy relative to the elements (eV/f.u.): -0.11
Volume (Å³ per cell): 346.1
Size of the total moment (μB/cell): 0.00
VASP energy (hartree per atom): -0.1641

---

[5]
Computed, not measured: an optimized crystal structure of Cr2IrPt at the PBE-GGA level of DFT.

Unit cell a=6.110 b=6.110 c=6.110 alpha=90.00 beta=90.00 gamma=90.00
Space group F-43m (No. 216)
One atom of each set of equivalent atoms:
Cr 0.000 0.000 0.000 x4
Cr 0.250 0.250 0.250 x4
Ir 0.000 0.000 0.500 x4
Pt 0.250 0.250 0.750 x4

Summary:
Energy relative to the elements (eV/f.u.): 0.66
Volume (Å³ per cell): 228.1
Size of the total moment (μB/cell): 4.29
VASP energy (hartree per atom): -0.3077

---

[6]
Computed, not measured: an optimized crystal structure of ZrMnCl at the PBE-GGA level of DFT.

Unit cell a=6.393 b=6.393 c=6.393 alpha=90.00 beta=90.00 gamma=90.00
Space group F-43m (No. 216)
One atom of each set of equivalent atoms:
Zr 0.000 0.000 0.000 x4
Mn 0.250 0.250 0.250 x4
Cl 0.250 0.250 0.750 x4

Summary:
Volume (Å³ per cell): 261.3
Size of the total moment (μB/cell): 7.99
VASP energy (hartree per atom): -0.2192